The following is a PBE-GGA calculation of a relaxed structure of KLi2Ru, from Alexandria via LeMat-Bulk.

a b c (Å): 5.189 5.189 2.716
angles (deg): 90.00 90.00 97.52
Site moments in Bohr magnetons follow the coordinates.
Fractional coordinates of all 4 atoms:
K 0.000 0.500 0.500  0.00
Li 0.500 0.500 0.000  0.00
Ru 0.500 0.000 0.500  0.11
Li 0.000 0.000 0.000  0.00

Results
Relative energy among the computed polymorphs ... 0.127 eV per atom
ΔH_f (0 K) ... 0.630 eV/atom
V ... 18.127 Å³ per atom